## MnBAsS2 (SCAN)

Data for MnBAsS2 at its PBEsol-relaxed geometry.

Unit cell a=4.4582 b=4.4582 c=3.7294 alpha=90.00 beta=90.00 gamma=90.00
Atoms (fractional coordinates):
Mn  0.0000  0.0000  0.0000
B  0.0000  0.0000  0.5000
As  0.5000  0.5000  0.5000
S  0.0000  0.5000  0.0000
S  0.5000  0.0000  0.0000

Values from the calculation:
As for the space-group type: No. 123. The energy comes out at -12.3193 eV/atom.

## MnBAs2Se (SCAN)

Data for MnBAs2Se at its PBEsol-relaxed geometry.

Unit cell a=4.4553 b=4.4553 c=4.8472 alpha=90.00 beta=90.00 gamma=90.00
Atoms (fractional coordinates):
Mn  0.0000  0.0000  0.0000
B  0.5000  0.5000  0.5000
As  0.0000  0.5000  0.0000
As  0.5000  0.0000  0.0000
Se  0.0000  0.0000  0.5000

Values from the calculation:
As for the space-group type: No. 123. The energy comes out at -16.0956 eV/atom.

## BAsN2 (SCAN)

Data for BAsN2 at its PBEsol-relaxed geometry.

Unit cell a=5.3004 b=5.3004 c=5.3004 alpha=36.18 beta=36.18 gamma=36.18
Atoms (fractional coordinates):
B  0.0000  0.0000  0.0000
As  0.5000  0.5000  0.5000
N  0.0907  0.0907  0.0907
N  0.9093  0.9093  0.9093

Values from the calculation:
The value obtained for the offset from the most stable computed form is 0 meV per atom. As for the space-group type: No. 166.

## BAsN2 (SCAN)

Data for BAsN2 at its PBEsol-relaxed geometry.

Unit cell a=4.7758 b=4.7758 c=4.7758 alpha=122.87 beta=122.87 gamma=85.09
Atoms (fractional coordinates):
B  0.0000  0.0000  0.0000
B  0.7500  0.2500  0.5000
As  0.2500  0.7500  0.5000
As  0.5000  0.5000  0.0000
N  0.0120  0.1250  0.3870
N  0.3750  0.9880  0.1130
N  0.7380  0.6250  0.6130
N  0.8750  0.2620  0.8870

Values from the calculation:
The value obtained for the offset from the most stable computed form is 54 meV per atom. As for the space-group type: No. 122.

## Na3BSbAsO7 (SCAN)

Data for Na3BSbAsO7 at its PBEsol-relaxed geometry.

Unit cell a=5.3756 b=6.9911 c=9.5175 alpha=90.00 beta=93.93 gamma=90.00
Atoms (fractional coordinates):
Na  0.2189  0.2500  0.4363
Na  0.2530  0.5061  0.7365
Na  0.2530  0.9939  0.7365
Na  0.7470  0.0061  0.2635
Na  0.7470  0.4939  0.2635
Na  0.7811  0.7500  0.5637
B  0.2571  0.7500  0.4344
B  0.7429  0.2500  0.5656
Sb  0.2245  0.7500  0.1606
Sb  0.7755  0.2500  0.8394
As  0.2766  0.2500  0.1019
As  0.7234  0.7500  0.8981
O  0.0367  0.7500  0.3407
O  0.1643  0.0610  0.1965
O  0.1643  0.4390  0.1965
O  0.1701  0.2500  0.9260
O  0.2431  0.7500  0.5737
O  0.4099  0.7500  0.8869
O  0.4743  0.7500  0.3605
O  0.5257  0.2500  0.6395
O  0.5901  0.2500  0.1131
O  0.7569  0.2500  0.4263
O  0.8299  0.7500  0.0740
O  0.8357  0.5610  0.8035
O  0.8357  0.9390  0.8035
O  0.9633  0.2500  0.6593

Values from the calculation:
As for the space-group type: No. 11. The energy comes out at -11.2092 eV/atom.

## Na2VBAsO7 (SCAN)

Data for Na2VBAsO7 at its PBEsol-relaxed geometry.

Unit cell a=5.5229 b=6.4966 c=9.2546 alpha=90.00 beta=94.22 gamma=90.00
Atoms (fractional coordinates):
Na  0.2352  0.0089  0.2995
Na  0.2352  0.4911  0.2995
Na  0.7648  0.5089  0.7005
Na  0.7648  0.9911  0.7005
V  0.2165  0.7500  0.8329
V  0.7835  0.2500  0.1671
B  0.2755  0.7500  0.5813
B  0.7245  0.2500  0.4187
As  0.2741  0.2500  0.9441
As  0.7259  0.7500  0.0559
O  0.0505  0.7500  0.6453
O  0.1252  0.2500  0.0985
O  0.1870  0.0435  0.8366
O  0.1870  0.4565  0.8366
O  0.3203  0.7500  0.4447
O  0.4151  0.7500  0.0198
O  0.4553  0.7500  0.7035
O  0.5447  0.2500  0.2965
O  0.5849  0.2500  0.9802
O  0.6797  0.2500  0.5553
O  0.8130  0.5435  0.1634
O  0.8130  0.9565  0.1634
O  0.8748  0.7500  0.9015
O  0.9495  0.2500  0.3547

Values from the calculation:
As for the space-group type: No. 11. The energy comes out at -10.1873 eV/atom.

## NaBAs2Pt (SCAN)

Data for NaBAs2Pt at its PBEsol-relaxed geometry.

Unit cell a=4.5594 b=4.5594 c=4.1202 alpha=90.00 beta=90.00 gamma=90.00
Atoms (fractional coordinates):
Na  0.0000  0.0000  0.0000
B  0.5000  0.5000  0.5000
As  0.0000  0.5000  0.5000
As  0.5000  0.0000  0.5000
Pt  0.5000  0.5000  0.0000

Values from the calculation:
As for the space-group type: No. 123. The energy comes out at -24.2106 eV/atom.

## NaB2AsRh (SCAN)

Data for NaB2AsRh at its PBEsol-relaxed geometry.

Unit cell a=3.9918 b=3.9918 c=5.2581 alpha=90.00 beta=90.00 gamma=90.00
Atoms (fractional coordinates):
Na  0.0000  0.0000  0.0000
B  0.0000  0.5000  0.5000
B  0.5000  0.0000  0.5000
As  0.5000  0.5000  0.0000
Rh  0.0000  0.0000  0.5000

Values from the calculation:
As for the space-group type: No. 123. The energy comes out at -13.6985 eV/atom.

## NaB2AsRu (SCAN)

Data for NaB2AsRu at its PBEsol-relaxed geometry.

Unit cell a=3.9870 b=3.9870 c=5.3165 alpha=90.00 beta=90.00 gamma=90.00
Atoms (fractional coordinates):
Na  0.0000  0.0000  0.0000
B  0.0000  0.5000  0.5000
B  0.5000  0.0000  0.5000
As  0.5000  0.5000  0.0000
Ru  0.0000  0.0000  0.5000

Values from the calculation:
As for the space-group type: No. 123. The energy comes out at -13.6477 eV/atom.

## NaBAsSe2 (SCAN)

Data for NaBAsSe2 at its PBEsol-relaxed geometry.

Unit cell a=5.0189 b=5.0189 c=4.8693 alpha=90.00 beta=90.00 gamma=90.00
Atoms (fractional coordinates):
Na  0.0000  0.0000  0.0000
B  0.5000  0.5000  0.5000
As  0.0000  0.0000  0.5000
Se  0.0000  0.5000  0.0000
Se  0.5000  0.0000  0.0000

Values from the calculation:
The value obtained for the offset from the most stable computed form is 1411 meV per atom. As for the space-group type: No. 123.

## NaBAsSe2 (SCAN)

Data for NaBAsSe2 at its PBEsol-relaxed geometry.

Unit cell a=4.8230 b=4.8230 c=4.0502 alpha=90.00 beta=90.00 gamma=90.00
Atoms (fractional coordinates):
Na  0.0000  0.0000  0.0000
B  0.5000  0.5000  0.5000
As  0.5000  0.5000  0.0000
Se  0.0000  0.5000  0.5000
Se  0.5000  0.0000  0.5000

Values from the calculation:
The value obtained for the offset from the most stable computed form is 0 meV per atom. As for the space-group type: No. 123.

## NbBAs2 (SCAN)

Data for NbBAs2 at its PBEsol-relaxed geometry.

Unit cell a=5.6722 b=5.6722 c=5.6722 alpha=117.38 beta=117.38 gamma=94.60
Atoms (fractional coordinates):
Nb  0.0000  0.0000  0.0000
Nb  0.7500  0.2500  0.5000
B  0.2500  0.7500  0.5000
B  0.5000  0.5000  0.0000
As  0.2012  0.1250  0.5762
As  0.3750  0.7988  0.9238
As  0.5488  0.6250  0.4238
As  0.8750  0.4512  0.0762

Values from the calculation:
As for the space-group type: No. 122. The energy comes out at -19.9632 eV/atom.